PrZnCu | PBE | optimized geometry

Output
E, eV/atom: -3.650
Symmetry: C2/m, No. 12
DFT formation energy, eV/atom: -0.2670

a = 4.480 Å, b = 5.546 Å, c = 5.926 Å
α = 77.86°, β = 67.79°, γ = 66.18°
Sites, in units of the cell vectors:
Pr1 0.544 0.206 0.706
Pr2 0.456 0.794 0.294
Zn1 0.828 0.234 0.110
Zn2 0.172 0.766 0.890
Cu1 0.160 0.388 0.292
Cu2 0.840 0.612 0.708